## Re3P5Au (PBE)

Data for an optimized crystal structure of Re3P5Au.

a b c (Å): 5.236 5.236 6.976
angles (deg): 90.00 90.00 120.00
Positions (direct):
Au 0.000 0.000 0.000
P 0.667 0.333 0.216
P 0.333 0.667 0.216
P 0.000 0.000 0.500
P 0.667 0.333 0.784
P 0.333 0.667 0.784
Re 0.500 0.000 0.500
Re 0.000 0.500 0.500
Re 0.500 0.500 0.500

Properties
The total energy comes out at -63.0 eV/cell. Its mass density is 9.126 g/cm3.